[1]
# Er3Sc2Al3O12 | Alexandria via LeMat-Bulk | SCAN | PBEsol geometry
# * density: 6.3 g/cm³
# * magnetization: 0.00 Bohr magnetons per cell
# * DFT total energy: -17.639 eV/atom
data_Er3Sc2Al3O12
_symmetry_space_group_name_H-M 'I a -3 d'
_symmetry_Int_Tables_number 230
_symmetry_space_group_name_Hall '-I 4bd 2c 3'
_cell_length_a 12.226
_cell_length_b 12.226
_cell_length_c 12.226
_cell_angle_alpha 90.00
_cell_angle_beta 90.00
_cell_angle_gamma 90.00
loop_
_atom_site_label
_atom_site_fract_x
_atom_site_fract_y
_atom_site_fract_z
Er1 0.000 0.250 0.125
Sc1 0.000 0.000 0.000
Al1 0.000 0.250 0.375
O1 0.030 0.059 0.657

---

[2]
# Er3Al12Os4 | Alexandria via LeMat-Bulk | SCAN | PBEsol geometry
# * density: 8.4 g/cm³
# * magnetization: 0.00 Bohr magnetons per cell
# * energy of formation: -0.711 eV/atom
data_Er3Al12Os4
_symmetry_space_group_name_H-M 'P 63/m m c'
_symmetry_Int_Tables_number 194
_symmetry_space_group_name_Hall '-P 6c 2c'
_cell_length_a 8.7209
_cell_length_b 8.7209
_cell_length_c 9.4862
_cell_angle_alpha 90.00
_cell_angle_beta 90.00
_cell_angle_gamma 120.00
loop_
_atom_site_label
_atom_site_fract_x
_atom_site_fract_y
_atom_site_fract_z
Er1 0.1939 0.3878 0.2500
Al1 0.0000 0.0000 0.2500
Al2 0.1219 0.5609 0.7500
Al3 0.1632 0.3263 0.5758
Al4 0.3333 0.6667 0.0196
Os1 0.0000 0.0000 0.0000
Os2 0.0000 0.5000 0.0000

---

[3]
# Er2Al9Pd3 | Alexandria via LeMat-Bulk | SCAN | PBEsol geometry
# * density: 6.4 g/cm³
# * magnetization: 1.55 Bohr magnetons per cell
# * energy of formation: -0.797 eV/atom
data_Er2Al9Pd3
_symmetry_space_group_name_H-M 'C m c m'
_symmetry_Int_Tables_number 63
_symmetry_space_group_name_Hall '-C 2c 2'
_cell_length_a 13.078
_cell_length_b 7.623
_cell_length_c 9.319
_cell_angle_alpha 90.00
_cell_angle_beta 90.00
_cell_angle_gamma 90.00
loop_
_atom_site_label
_atom_site_fract_x
_atom_site_fract_y
_atom_site_fract_z
Er1 0.161 0.168 0.250
Al1 0.000 0.128 0.750
Al2 0.000 0.332 0.057
Al3 0.105 0.444 0.750
Al4 0.168 0.167 0.577
Pd1 0.000 0.000 0.000
Pd2 0.172 0.500 0.000

---

[4]
# ErAlPt | Alexandria via LeMat-Bulk | SCAN | PBEsol geometry
# * density: 11.5 g/cm³
# * magnetization: 0.00 Bohr magnetons per cell
# * energy of formation: -1.429 eV/atom
data_ErAlPt
_symmetry_space_group_name_H-M 'P n m a'
_symmetry_Int_Tables_number 62
_symmetry_space_group_name_Hall '-P 2ac 2n'
_cell_length_a 6.758
_cell_length_b 4.341
_cell_length_c 7.667
_cell_angle_alpha 90.00
_cell_angle_beta 90.00
_cell_angle_gamma 90.00
loop_
_atom_site_label
_atom_site_fract_x
_atom_site_fract_y
_atom_site_fract_z
Er1 0.029 0.250 0.181
Al1 0.145 0.250 0.563
Pt1 0.231 0.750 0.383

---

[5]
# Er4Al24Pt9 | Alexandria via LeMat-Bulk | SCAN | PBEsol geometry
# * density: 8.3 g/cm³
# * magnetization: 0.01 Bohr magnetons per cell
# * energy of formation: -1.114 eV/atom
data_Er4Al24Pt9
_symmetry_space_group_name_H-M 'P -1'
_symmetry_Int_Tables_number 2
_symmetry_space_group_name_Hall '-P 1'
_cell_length_a 7.455
_cell_length_b 7.458
_cell_length_c 13.022
_cell_angle_alpha 79.03
_cell_angle_beta 84.52
_cell_angle_gamma 60.11
loop_
_atom_site_label
_atom_site_fract_x
_atom_site_fract_y
_atom_site_fract_z
Er1 0.001 0.232 0.308
Er2 0.332 0.562 0.308
Al1 0.001 0.686 0.941
Al2 0.002 0.852 0.444
Al3 0.006 0.056 0.828
Al4 0.130 0.309 0.684
Al5 0.332 0.184 0.453
Al6 0.333 0.021 0.938
Al7 0.333 0.647 0.059
Al8 0.334 0.483 0.556
Al9 0.335 0.384 0.828
Al10 0.336 0.897 0.683
Al11 0.339 0.270 0.170
Al12 0.457 0.897 0.316
Pt1 0.000 0.500 0.500
Pt2 0.009 0.612 0.139
Pt3 0.325 0.954 0.138
Pt4 0.328 0.828 0.500
Pt5 0.333 0.704 0.861

---

[6]
# ErAl10Re2 | Alexandria via LeMat-Bulk | SCAN | PBEsol geometry
# * density: 6.4 g/cm³
# * magnetization: 0.00 Bohr magnetons per cell
# * energy of formation: -0.401 eV/atom
data_ErAl10Re2
_symmetry_space_group_name_H-M 'C m c m'
_symmetry_Int_Tables_number 63
_symmetry_space_group_name_Hall '-C 2c 2'
_cell_length_a 9.222
_cell_length_b 10.261
_cell_length_c 26.753
_cell_angle_alpha 90.00
_cell_angle_beta 90.00
_cell_angle_gamma 90.00
loop_
_atom_site_label
_atom_site_fract_x
_atom_site_fract_y
_atom_site_fract_z
Er1 0.000 0.118 0.250
Er2 0.000 0.375 0.085
Al1 0.000 0.096 0.133
Al2 0.000 0.122 0.022
Al3 0.000 0.130 0.679
Al4 0.000 0.335 0.534
Al5 0.000 0.375 0.645
Al6 0.000 0.408 0.200
Al7 0.150 0.387 0.750
Al8 0.151 0.122 0.581
Al9 0.205 0.500 0.000
Al10 0.211 0.111 0.750
Al11 0.220 0.248 0.171
Al12 0.248 0.128 0.083
Re1 0.248 0.003 0.663
Re2 0.250 0.250 0.000

---

[7]
# Er2Al9Rh3 | Alexandria via LeMat-Bulk | SCAN | PBEsol geometry
# * density: 6.5 g/cm³
# * magnetization: 0.00 Bohr magnetons per cell
# * energy of formation: -0.962 eV/atom
data_Er2Al9Rh3
_symmetry_space_group_name_H-M 'C m c m'
_symmetry_Int_Tables_number 63
_symmetry_space_group_name_Hall '-C 2c 2'
_cell_length_a 12.878
_cell_length_b 7.530
_cell_length_c 9.349
_cell_angle_alpha 90.00
_cell_angle_beta 90.00
_cell_angle_gamma 90.00
loop_
_atom_site_label
_atom_site_fract_x
_atom_site_fract_y
_atom_site_fract_z
Er1 0.161 0.166 0.250
Al1 0.000 0.127 0.750
Al2 0.000 0.332 0.051
Al3 0.106 0.446 0.750
Al4 0.168 0.168 0.576
Rh1 0.000 0.000 0.000
Rh2 0.172 0.500 0.000

---

[8]
# Er2AlSi2 | Alexandria via LeMat-Bulk | SCAN | PBEsol geometry
# * density: 7.2 g/cm³
# * magnetization: 0.00 Bohr magnetons per cell
# * DFT total energy: -26.439 eV/atom
data_Er2AlSi2
_symmetry_space_group_name_H-M 'I m m m'
_symmetry_Int_Tables_number 71
_symmetry_space_group_name_Hall '-I 2 2'
_cell_length_a 4.032
_cell_length_b 5.592
_cell_length_c 8.529
_cell_angle_alpha 90.00
_cell_angle_beta 90.00
_cell_angle_gamma 90.00
loop_
_atom_site_label
_atom_site_fract_x
_atom_site_fract_y
_atom_site_fract_z
Er1 0.000 0.000 0.210
Al1 0.000 0.500 0.000
Si1 0.000 0.289 0.500

---

[9]
# YEr4Al15 | Alexandria via LeMat-Bulk | SCAN | PBEsol geometry
# * density: 5.2 g/cm³
# * magnetization: 0.64 Bohr magnetons per cell
# * energy of formation: -0.451 eV/atom
data_YEr4Al15
_symmetry_space_group_name_H-M 'R -3 m'
_symmetry_Int_Tables_number 166
_symmetry_space_group_name_Hall '-R 3 2"'
_cell_length_a 6.0039
_cell_length_b 6.0039
_cell_length_c 35.6105
_cell_angle_alpha 90.00
_cell_angle_beta 90.00
_cell_angle_gamma 120.00
loop_
_atom_site_label
_atom_site_fract_x
_atom_site_fract_y
_atom_site_fract_z
Y1 0.0000 0.0000 0.0000
Er1 0.0000 0.0000 0.1315
Er2 0.0000 0.0000 0.4000
Al1 0.0000 0.5000 0.0000
Al2 0.0034 0.5017 0.8665
Al3 0.0298 0.5149 0.3998

---

[10]
# YErAl2 | Alexandria via LeMat-Bulk | SCAN | PBEsol geometry
# * density: 5.8 g/cm³
# * magnetization: 0.06 Bohr magnetons per cell
# * energy of formation: -0.428 eV/atom
data_YErAl2
_symmetry_space_group_name_H-M 'F m -3 m'
_symmetry_Int_Tables_number 225
_symmetry_space_group_name_Hall '-F 4 2 3'
_cell_length_a 7.080
_cell_length_b 7.080
_cell_length_c 7.080
_cell_angle_alpha 90.00
_cell_angle_beta 90.00
_cell_angle_gamma 90.00
loop_
_atom_site_label
_atom_site_fract_x
_atom_site_fract_y
_atom_site_fract_z
Y1 0.000 0.000 0.000
Er1 0.000 0.000 0.500
Al1 0.250 0.250 0.250

---

[11]
# YErAl4 | Alexandria via LeMat-Bulk | SCAN | PBEsol geometry
# * density: 5.1 g/cm³
# * magnetization: 0.00 Bohr magnetons per cell
# * energy of formation: -0.552 eV/atom
data_YErAl4
_symmetry_space_group_name_H-M 'F -4 3 m'
_symmetry_Int_Tables_number 216
_symmetry_space_group_name_Hall 'F -4 2 3'
_cell_length_a 7.775
_cell_length_b 7.775
_cell_length_c 7.775
_cell_angle_alpha 90.00
_cell_angle_beta 90.00
_cell_angle_gamma 90.00
loop_
_atom_site_label
_atom_site_fract_x
_atom_site_fract_y
_atom_site_fract_z
Y1 0.000 0.000 0.000
Er1 0.250 0.250 0.250
Al1 0.125 0.125 0.625

---

[12]
# EuAl4 | Alexandria via LeMat-Bulk | SCAN | PBEsol geometry
# * density: 4.2 g/cm³
# * magnetization: 14.11 Bohr magnetons per cell
# * energy of formation: -0.306 eV/atom
data_EuAl4
_symmetry_space_group_name_H-M 'I 4/m m m'
_symmetry_Int_Tables_number 139
_symmetry_space_group_name_Hall '-I 4 2'
_cell_length_a 4.287
_cell_length_b 4.287
_cell_length_c 11.166
_cell_angle_alpha 90.00
_cell_angle_beta 90.00
_cell_angle_gamma 90.00
loop_
_atom_site_label
_atom_site_fract_x
_atom_site_fract_y
_atom_site_fract_z
Eu1 0.000 0.000 0.000
Al1 0.000 0.000 0.387
Al2 0.000 0.500 0.250